1.
The following is a PBE calculation of a relaxed structure of LiTb2PmHg4, from Alexandria.

```
data_LiTb2PmHg4
_symmetry_space_group_name_H-M 'R -3 m'
_symmetry_Int_Tables_number 166
_symmetry_space_group_name_Hall '-R 3 2"'
_cell_length_a 5.1488
_cell_length_b 5.1488
_cell_length_c 26.2690
_cell_angle_alpha 90.00
_cell_angle_beta 90.00
_cell_angle_gamma 120.00
loop_
_atom_site_label
_atom_site_type_symbol
_atom_site_fract_x
_atom_site_fract_y
_atom_site_fract_z
Li1 Li 0.0000 0.0000 0.0000
Tb1 Tb 0.0000 0.0000 0.2565
Pm1 Pm 0.0000 0.0000 0.5000
Hg1 Hg 0.0000 0.0000 0.1180
Hg2 Hg 0.0000 0.0000 0.3733
```

Results
As for the formation energy: -345.7 kJ/mol of formula units. The mass density comes out at 10.51 Mg/m³.


2.
The following is a PBE calculation of a relaxed structure of Si2Tc2Mo, from Alexandria.

```
data_Si2Tc2Mo
_symmetry_space_group_name_H-M 'P 4/m b m'
_symmetry_Int_Tables_number 127
_symmetry_space_group_name_Hall '-P 4 2ab'
_cell_length_a 6.8545
_cell_length_b 6.8545
_cell_length_c 2.9662
_cell_angle_alpha 90.00
_cell_angle_beta 90.00
_cell_angle_gamma 90.00
loop_
_atom_site_label
_atom_site_type_symbol
_atom_site_fract_x
_atom_site_fract_y
_atom_site_fract_z
Si1 Si 0.1404 0.3596 0.0000
Tc1 Tc 0.1547 0.6547 0.5000
Mo1 Mo 0.0000 0.0000 0.0000
```

Results
The excess energy over the best structure of this formula in the dataset is 0.0000 eV per atom. The mass density comes out at 8.30 Mg/m³. The energy relative to the elements, uncorrected comes out at -0.286 eV/atom.


3.
The following is a PBE calculation of a relaxed structure of DyCdHg3, from Alexandria.

```
data_DyCdHg3
_symmetry_space_group_name_H-M 'C 1 2/m 1'
_symmetry_Int_Tables_number 12
_cell_length_a 28.0764
_cell_length_b 3.5760
_cell_length_c 5.1973
_cell_angle_alpha 90.00
_cell_angle_beta 94.73
_cell_angle_gamma 90.00
loop_
_symmetry_equiv_pos_as_xyz
'x,y,z'
'-x,-y,-z'
'-x,y,-z'
'x,-y,z'
'x+1/2,y+1/2,z'
'-x+1/2,-y+1/2,-z'
'-x+1/2,y+1/2,-z'
'x+1/2,-y+1/2,z'
loop_
_atom_site_label
_atom_site_type_symbol
_atom_site_fract_x
_atom_site_fract_y
_atom_site_fract_z
Dy1 Dy 0.1212 0.0000 0.3070
Cd1 Cd 0.0847 0.5000 0.7899
Hg1 Hg 0.0278 0.5000 0.2628
Hg2 Hg 0.1850 0.0000 0.8354
Hg3 Hg 0.2130 0.5000 0.3307
```

Results
As for the formation energy: -75.2 kJ/mol of formula units. The excess energy over the best structure of this formula in the dataset is 0.1182 eV per atom. The mass density comes out at 11.20 Mg/m³.